1.
Density functional theory data (GGA-PBEsol) for K2MoIr after structural relaxation.

Results
DOS at the Fermi energy, states/eV/f.u.: 1.818
Volume, Å³/atom: 20.17
Theoretical density, g cm⁻³: 7.54
Polymorph energy (0 for the lowest one), eV/atom: 0.4332
ΔH_f (0 K), kJ/mol of atoms: 108.9

POSCAR file:
```
K2MoIr
1.0
-1.873 1.873 5.753
1.873 -1.873 5.753
1.873 1.873 -5.753
K Mo Ir
2 1 1
Direct
0.250 0.750 0.500
0.750 0.250 0.500
0.000 0.000 0.000
0.500 0.500 0.000
```

***

2.
Density functional theory data (GGA-PBEsol) for KMoIr2 after structural relaxation.

Results
DOS at the Fermi energy, states/eV/f.u.: 4.960
Volume, Å³/atom: 16.45
Theoretical density, g cm⁻³: 13.11
Polymorph energy (0 for the lowest one), eV/atom: 0.0000
ΔH_f (0 K), kJ/mol of atoms: 96.0

POSCAR file:
```
KMoIr2
1.0
3.028 -4.030 0.000
3.028 4.030 0.000
0.000 0.000 2.696
K Mo Ir
1 1 2
Direct
0.000 0.000 0.000
0.500 0.500 0.000
0.000 0.500 0.500
0.500 0.000 0.500
```

***

3.
Density functional theory data (GGA-PBEsol) for K2MoIr after structural relaxation.

Results
DOS at the Fermi energy, states/eV/f.u.: 4.293
Volume, Å³/atom: 19.85
Theoretical density, g cm⁻³: 7.66
Polymorph energy (0 for the lowest one), eV/atom: 0.4939
ΔH_f (0 K), kJ/mol of atoms: 114.7

POSCAR file:
```
K2MoIr
1.0
1.398 0.807 11.732
-1.398 0.807 11.732
0.000 -1.614 11.732
K Mo Ir
2 1 1
Direct
0.244 0.244 0.244
0.756 0.756 0.756
0.000 0.000 0.000
0.500 0.500 0.500
```

***

4.
Density functional theory data (GGA-PBEsol) for KMoIr2 after structural relaxation.

Results
DOS at the Fermi energy, states/eV/f.u.: 5.399
Volume, Å³/atom: 16.36
Theoretical density, g cm⁻³: 13.18
Polymorph energy (0 for the lowest one), eV/atom: 0.1626
ΔH_f (0 K), kJ/mol of atoms: 111.7

POSCAR file:
```
KMoIr2
1.0
5.130 0.000 0.000
0.000 2.675 0.000
-2.340 0.000 4.767
K Mo Ir
1 1 2
Direct
0.000 0.000 0.000
0.000 0.500 0.500
0.500 0.000 0.500
0.500 0.500 0.000
```

***

5.
Density functional theory data (GGA-PBEsol) for KMo2Ir after structural relaxation.

Results
DOS at the Fermi energy, states/eV/f.u.: 3.275
Volume, Å³/atom: 22.69
Theoretical density, g cm⁻³: 7.74
Polymorph energy (0 for the lowest one), eV/atom: 0.1486
ΔH_f (0 K), kJ/mol of atoms: 84.3

POSCAR file:
```
KMo2Ir
1.0
4.557 -1.461 0.000
4.557 1.461 0.000
-1.197 0.000 6.814
K Mo Ir
1 2 1
Direct
0.000 0.000 0.000
0.203 0.203 0.627
0.504 0.504 0.478
0.773 0.773 0.351
```

***

6.
Density functional theory data (GGA-PBEsol) for KMo2Ir after structural relaxation.

Results
DOS at the Fermi energy, states/eV/f.u.: 5.596
Volume, Å³/atom: 17.87
Theoretical density, g cm⁻³: 9.83
Polymorph energy (0 for the lowest one), eV/atom: 0.0274
ΔH_f (0 K), kJ/mol of atoms: 72.6

POSCAR file:
```
KMo2Ir
1.0
1.390 0.803 10.677
-1.390 0.803 10.677
0.000 -1.605 10.677
K Mo Ir
1 2 1
Direct
0.000 0.000 0.000
0.235 0.235 0.235
0.765 0.765 0.765
0.500 0.500 0.500
```

***

7.
Density functional theory data (GGA-PBEsol) for KSbMoIr2 after structural relaxation.

Results
Raw formation energy, eV per atom: 1.507
DOS at the Fermi energy, states/eV/f.u.: 5.095
Volume, Å³/atom: 22.51
Theoretical density, g cm⁻³: 9.46

POSCAR file:
```
KSbMoIr2
1.0
4.718 0.000 0.000
0.000 4.718 0.000
0.000 0.000 5.055
K Sb Mo Ir
1 1 1 2
Direct
0.000 0.000 0.000
0.500 0.500 0.000
0.000 0.000 0.500
0.000 0.500 0.500
0.500 0.000 0.500
```

***

8.
Density functional theory data (GGA-PBEsol) for K2IrN after structural relaxation.

Results
Raw formation energy, eV per atom: -0.062
DOS at the Fermi energy, states/eV/f.u.: 1.373
Volume, Å³/atom: 30.15
Theoretical density, g cm⁻³: 3.92

POSCAR file:
```
K2IrN
1.0
-5.699 5.699 1.856
5.699 -5.699 1.856
5.699 5.699 -1.856
K Ir N
4 2 2
Direct
0.375 0.102 0.227
0.852 0.625 0.727
0.875 0.148 0.773
0.898 0.125 0.273
0.250 0.750 0.500
0.500 0.500 0.000
0.000 0.000 0.000
0.750 0.250 0.500
```

***

9.
Density functional theory data (GGA-PBEsol) for KNa2Ir after structural relaxation.

Results
DOS at the Fermi energy, states/eV/f.u.: 3.907
Volume, Å³/atom: 27.26
Theoretical density, g cm⁻³: 4.22
ΔH_f (0 K), kJ/mol of atoms: 89.5

POSCAR file:
```
KNa2Ir
1.0
-2.310 2.310 10.216
2.310 -2.310 10.216
2.310 2.310 -10.216
K Na Ir
2 4 2
Direct
0.000 0.000 0.000
0.750 0.250 0.500
0.179 0.625 0.054
0.375 0.429 0.554
0.571 0.125 0.946
0.875 0.821 0.446
0.250 0.750 0.500
0.500 0.500 0.000
```

***

10.
Density functional theory data (GGA-PBEsol) for KNaIr3 after structural relaxation.

Results
DOS at the Fermi energy, states/eV/f.u.: 8.972
Volume, Å³/atom: 20.16
Theoretical density, g cm⁻³: 10.52
ΔH_f (0 K), kJ/mol of atoms: 236.9

POSCAR file:
```
KNaIr3
1.0
4.654 0.000 0.000
0.000 4.654 0.000
0.000 0.000 4.654
K Na Ir
1 1 3
Direct
0.000 0.000 0.000
0.500 0.500 0.500
0.000 0.500 0.500
0.500 0.000 0.500
0.500 0.500 0.000
```

***

11.
Density functional theory data (GGA-PBEsol) for K2Na2IrO4 after structural relaxation.

Results
Raw formation energy, eV per atom: -1.235
DOS at the Fermi energy, states/eV/f.u.: 0.667
Volume, Å³/atom: 15.85
Theoretical density, g cm⁻³: 4.43

POSCAR file:
```
K2Na2IrO4
1.0
5.960 0.000 0.000
0.000 11.173 0.000
-3.537 0.000 8.567
K Na Ir O
8 8 4 16
Direct
0.162 0.134 0.282
0.162 0.366 0.782
0.164 0.638 0.001
0.164 0.862 0.501
0.836 0.138 0.499
0.836 0.362 0.999
0.838 0.634 0.218
0.838 0.866 0.718
0.067 0.108 0.907
0.067 0.392 0.407
0.428 0.614 0.405
0.428 0.886 0.905
0.572 0.114 0.095
0.572 0.386 0.595
0.933 0.608 0.593
0.933 0.892 0.093
0.485 0.129 0.729
0.485 0.371 0.229
0.515 0.629 0.771
0.515 0.871 0.271
0.214 0.032 0.721
0.214 0.468 0.221
0.241 0.725 0.759
0.241 0.775 0.259
0.278 0.231 0.568
0.278 0.269 0.068
0.300 0.532 0.602
0.300 0.968 0.102
0.700 0.032 0.898
0.700 0.468 0.398
0.722 0.731 0.932
0.722 0.769 0.432
0.759 0.225 0.741
0.759 0.275 0.241
0.786 0.532 0.779
0.786 0.968 0.279
```

***

12.
Density functional theory data (GGA-PBEsol) for K2NbIr after structural relaxation.

Results
DOS at the Fermi energy, states/eV/f.u.: 5.567
Volume, Å³/atom: 24.80
Theoretical density, g cm⁻³: 6.08
ΔH_f (0 K), kJ/mol of atoms: 190.0

POSCAR file:
```
K2NbIr
1.0
0.000 3.674 3.674
3.674 0.000 3.674
3.674 3.674 0.000
K Nb Ir
2 1 1
Direct
0.250 0.250 0.250
0.750 0.750 0.750
0.000 0.000 0.000
0.500 0.500 0.500
```

***

13.
Density functional theory data (GGA-PBEsol) for KNiIr2 after structural relaxation.

Results
DOS at the Fermi energy, states/eV/f.u.: 4.981
Volume, Å³/atom: 17.92
Theoretical density, g cm⁻³: 11.17
Polymorph energy (0 for the lowest one), eV/atom: 0.1382
ΔH_f (0 K), kJ/mol of atoms: 68.2

POSCAR file:
```
KNiIr2
1.0
2.574 0.000 0.000
0.000 3.675 0.000
0.000 0.000 7.579
K Ni Ir
1 1 2
Direct
0.000 0.000 0.000
0.000 0.000 0.500
0.500 0.500 0.335
0.500 0.500 0.665
```

***

14.
Density functional theory data (GGA-PBEsol) for KNiIr after structural relaxation.

Results
DOS at the Fermi energy, states/eV/f.u.: 3.397
Volume, Å³/atom: 19.68
Theoretical density, g cm⁻³: 8.16
Polymorph energy (0 for the lowest one), eV/atom: 0.0000
ΔH_f (0 K), kJ/mol of atoms: 142.1

POSCAR file:
```
KNiIr
1.0
0.000 3.090 3.090
3.090 0.000 3.090
3.090 3.090 0.000
K Ni Ir
1 1 1
Direct
0.000 0.000 0.000
0.250 0.250 0.250
0.500 0.500 0.500
```

***

15.
Density functional theory data (GGA-PBEsol) for KNiIr2 after structural relaxation.

Results
DOS at the Fermi energy, states/eV/f.u.: 4.452
Volume, Å³/atom: 15.57
Theoretical density, g cm⁻³: 12.86
Polymorph energy (0 for the lowest one), eV/atom: 0.4511
ΔH_f (0 K), kJ/mol of atoms: 98.4

POSCAR file:
```
KNiIr2
1.0
2.728 -4.482 0.000
2.728 4.482 0.000
0.000 0.000 2.547
K Ni Ir
1 1 2
Direct
0.000 0.000 0.000
0.500 0.500 0.000
0.000 0.500 0.500
0.500 0.000 0.500
```

***

16.
Density functional theory data (GGA-PBEsol) for KNiIr after structural relaxation.

Results
DOS at the Fermi energy, states/eV/f.u.: 8.653
Volume, Å³/atom: 20.22
Theoretical density, g cm⁻³: 7.94
Polymorph energy (0 for the lowest one), eV/atom: 0.9601
ΔH_f (0 K), kJ/mol of atoms: 234.7

POSCAR file:
```
KNiIr
1.0
0.000 3.119 3.119
3.119 0.000 3.119
3.119 3.119 0.000
K Ni Ir
1 1 1
Direct
0.000 0.000 0.000
0.750 0.750 0.750
0.250 0.250 0.250
```

***

17.
Density functional theory data (GGA-PBEsol) for KNiIr2 after structural relaxation.

Results
DOS at the Fermi energy, states/eV/f.u.: 4.029
Volume, Å³/atom: 19.18
Theoretical density, g cm⁻³: 10.44
Polymorph energy (0 for the lowest one), eV/atom: 0.0000
ΔH_f (0 K), kJ/mol of atoms: 54.9

POSCAR file:
```
KNiIr2
1.0
4.333 -1.349 0.000
4.333 1.349 0.000
-0.757 0.000 6.561
K Ni Ir
1 1 2
Direct
0.000 0.000 0.000
0.230 0.230 0.666
0.506 0.506 0.493
0.768 0.768 0.367
```

***

18.
Density functional theory data (GGA-PBEsol) for KIr4O8 after structural relaxation.

Results
Raw formation energy, eV per atom: -0.831
DOS at the Fermi energy, states/eV/f.u.: 7.640
Volume, Å³/atom: 12.27
Theoretical density, g cm⁻³: 9.75

POSCAR file:
```
KIr4O8
1.0
6.911 -1.586 0.000
6.911 1.586 0.000
-6.146 0.000 7.274
K Ir O
1 4 8
Direct
0.000 0.000 0.000
0.159 0.159 0.815
0.359 0.359 0.529
0.641 0.641 0.471
0.841 0.841 0.185
0.133 0.133 0.589
0.165 0.165 0.360
0.218 0.218 0.073
0.456 0.456 0.263
0.544 0.544 0.737
0.782 0.782 0.927
0.835 0.835 0.640
0.867 0.867 0.411
```

***

19.
Density functional theory data (GGA-PBEsol) for K4IrO4 after structural relaxation.

Results
Raw formation energy, eV per atom: -1.213
DOS at the Fermi energy, states/eV/f.u.: 0.750
Volume, Å³/atom: 18.81
Theoretical density, g cm⁻³: 4.05

POSCAR file:
```
K4IrO4
1.0
4.561 -3.146 0.000
4.561 3.146 0.000
-1.676 0.000 5.898
K Ir O
4 1 4
Direct
0.122 0.122 0.364
0.308 0.308 0.915
0.692 0.692 0.085
0.878 0.878 0.636
0.500 0.500 0.500
0.173 0.603 0.300
0.397 0.827 0.700
0.603 0.173 0.300
0.827 0.397 0.700
```

***

20.
Density functional theory data (GGA-PBEsol) for KIrO3 after structural relaxation.

Results
Raw formation energy, eV per atom: -1.109
DOS at the Fermi energy, states/eV/f.u.: 1.871
Volume, Å³/atom: 14.09
Theoretical density, g cm⁻³: 6.58

POSCAR file:
```
KIrO3
1.0
9.456 0.000 0.000
0.000 9.456 0.000
0.000 0.000 9.456
K Ir O
12 12 36
Direct
0.000 0.000 0.000
0.000 0.500 0.500
0.096 0.096 0.404
0.096 0.404 0.096
0.404 0.096 0.096
0.404 0.404 0.404
0.500 0.000 0.500
0.500 0.500 0.000
0.596 0.596 0.596
0.596 0.904 0.904
0.904 0.596 0.904
0.904 0.904 0.596
0.091 0.250 0.750
0.250 0.591 0.750
0.250 0.750 0.091
0.250 0.750 0.409
0.250 0.909 0.750
0.409 0.250 0.750
0.591 0.750 0.250
0.750 0.091 0.250
0.750 0.250 0.591
0.750 0.250 0.909
0.750 0.409 0.250
0.909 0.750 0.250
0.045 0.746 0.097
0.045 0.754 0.403
0.097 0.045 0.746
0.097 0.455 0.754
0.112 0.750 0.750
0.246 0.597 0.955
0.246 0.903 0.545
0.250 0.250 0.612
0.250 0.250 0.888
0.250 0.612 0.250
0.250 0.888 0.250
0.254 0.597 0.545
0.254 0.903 0.955
0.388 0.750 0.750
0.403 0.045 0.754
0.403 0.455 0.746
0.455 0.746 0.403
0.455 0.754 0.097
0.545 0.246 0.903
0.545 0.254 0.597
0.597 0.545 0.254
0.597 0.955 0.246
0.612 0.250 0.250
0.746 0.097 0.045
0.746 0.403 0.455
0.750 0.112 0.750
0.750 0.388 0.750
0.750 0.750 0.112
0.750 0.750 0.388
0.754 0.097 0.455
0.754 0.403 0.045
0.888 0.250 0.250
0.903 0.545 0.246
0.903 0.955 0.254
0.955 0.246 0.597
0.955 0.254 0.903
```